1.
Bi2AsPdBr: optimized geometry, PBE.

Computed properties:
space group: P4/mmm, No. 123
formation energy without anion corrections: 0.23 eV per atom
energy: -3.622 eV per atom

POSCAR file:
```
Bi2AsPdBr
1.0
-5.285 1.535 1.401
-1.528 -4.155 -1.210
0.863 -1.860 5.296
Bi As Br Pd
2 1 1 1
direct
0.500 0.000 0.000
0.000 0.000 0.500
0.000 0.500 0.000
0.500 0.500 0.500
0.000 0.000 0.000
```

2.
BiAs2PdBr: optimized geometry, PBE.

Computed properties:
space group: P4/mmm, No. 123
formation energy without anion corrections: 0.33 eV per atom
energy: -3.675 eV per atom

POSCAR file:
```
BiAs2PdBr
1.0
4.968 0.000 0.000
0.000 4.968 0.000
0.000 0.000 5.067
Pd As Bi Br
1 2 1 1
direct
0.000 0.000 0.000
0.500 0.000 0.000
0.000 0.500 0.000
0.500 0.500 0.500
0.000 0.000 0.500
```

3.
BiAsPdBr2: optimized geometry, PBE.

Computed properties:
space group: P4/mmm, No. 123
formation energy without anion corrections: 0.16 eV per atom
energy: -3.252 eV per atom

POSCAR file:
```
BiAsPdBr2
1.0
-2.879 4.107 0.468
-1.227 -0.304 -4.876
-4.025 -2.958 1.197
Pd Bi Br As
1 1 2 1
direct
0.000 0.000 0.000
0.500 0.500 0.500
0.000 0.500 0.000
0.500 0.000 0.000
0.000 0.000 0.500
```

Question: The lowest formation energy without anion corrections belongs to which entry?
Answer: BiAsPdBr2

Question: What is the energy in the third record?
Answer: -3.252 eV per atom

Question: The highest energy belongs to which entry?
Answer: BiAsPdBr2

Question: Which of these has the lowest energy?
Answer: BiAs2PdBr